! Zr2TlPb | the Alexandria database | PBE | optimized geometry; values from VASP
&SYSTEM
  ibrav = 0, nat = 4, ntyp = 3
/
ATOMIC_SPECIES
Tl 204.38 Tl.upf
Zr 91.22 Zr.upf
Pb 207.20 Pb.upf
CELL_PARAMETERS angstrom
-2.935 -2.303 2.774
0.502 -3.754 -2.584
3.372 -1.275 2.508
ATOMIC_POSITIONS angstrom
Tl 1.937 -2.515 -0.038
Zr 0.000 0.000 0.000
Zr -1.216 -3.028 0.095
Pb 0.218 -1.789 2.641
! DFT formation energy	-96	meV/atom
! total moment	0.000	μB per cell
! crystal system	orthorhombic
! excess energy over the best structure of this formula in the dataset	4.8	meV/atom


! Zr2TlPb | the Alexandria database | PBE | optimized geometry; values from VASP
&SYSTEM
  ibrav = 0, nat = 4, ntyp = 3
/
ATOMIC_SPECIES
Zr 91.22 Zr.upf
Pb 207.20 Pb.upf
Tl 204.38 Tl.upf
CELL_PARAMETERS angstrom
-8.713 0.976 5.675
-7.719 -1.973 6.752
-6.519 0.770 8.123
ATOMIC_POSITIONS angstrom
Zr -11.466 -0.114 10.267
Zr -0.010 0.000 0.009
Pb -5.738 -0.057 5.138
Tl -17.214 -0.171 15.413
! DFT formation energy	-31	meV/atom
! total moment	0.000	μB per cell
! crystal system	trigonal
! excess energy over the best structure of this formula in the dataset	69.3	meV/atom


! Zr2TlPb2 | the Alexandria database | PBE | optimized geometry; values from VASP
&SYSTEM
  ibrav = 0, nat = 10, ntyp = 3
/
ATOMIC_SPECIES
Pb 207.20 Pb.upf
Zr 91.22 Zr.upf
Tl 204.38 Tl.upf
CELL_PARAMETERS angstrom
9.098 0.000 0.000
0.000 9.098 0.000
0.000 0.000 3.244
ATOMIC_POSITIONS angstrom
Pb 3.011 7.560 0.000
Pb 6.087 1.538 0.000
Pb 1.538 3.011 0.000
Pb 7.560 6.087 0.000
Zr 5.678 7.970 1.622
Zr 1.128 5.678 1.622
Zr 3.421 1.128 1.622
Zr 7.970 3.421 1.622
Tl 0.000 0.000 0.000
Tl 4.549 4.549 0.000
! DFT formation energy	65	meV/atom
! total moment	1.720	μB per cell
! crystal system	tetragonal
! excess energy over the best structure of this formula in the dataset	104.1	meV/atom